VASP calculation (PBE) on a geometry-optimized Tm2MnNi3 structure. Values from VASP.

```
&SYSTEM
  ibrav = 0, nat = 6, ntyp = 3
/
ATOMIC_SPECIES
Ni 58.69 Ni.upf
Tm 168.93 Tm.upf
Mn 54.94 Mn.upf
CELL_PARAMETERS angstrom
-1.664 -3.259 2.106
-0.216 -2.689 -4.333
5.419 1.239 1.967
ATOMIC_POSITIONS crystal
Ni 0.622 0.622 0.244
Tm 0.685 0.185 0.370
Ni 0.000 0.000 0.000
Mn 0.000 0.500 0.000
Tm 0.315 0.815 0.630
Ni 0.378 0.378 0.756
```

Values from the calculation:
The value obtained for the density of states at the Fermi level is 0.72 states/eV per atom. As for the formation energy: -0.074 eV/atom. As for the energy above the lowest structure with this stoichiometry: 293 meV per atom. Its space group is Immm, No. 71.